BaAl3P2H2O14 | Alexandria via LeMat-Bulk | PBE | relaxed; uncorrected energy = -6.63 eV per atom; total moment = 1.14 μB per formula unit
1.0
3.248 6.441 -0.134
-3.248 6.441 -0.134
0.000 3.946 6.375
Ba Al P H O
1 3 2 2 14
Direct
0.000 0.000 0.000 Ba
0.000 0.000 0.500 Al
0.500 0.000 0.500 Al
0.000 0.500 0.500 Al
0.269 0.269 0.129 P
0.731 0.731 0.871 P
0.321 0.321 0.656 H
0.679 0.679 0.344 H
0.335 0.335 0.895 O
0.665 0.665 0.105 O
0.129 0.129 0.226 O
0.871 0.871 0.774 O
0.115 0.496 0.215 O
0.496 0.115 0.215 O
0.504 0.885 0.785 O
0.885 0.504 0.785 O
0.312 0.312 0.532 O
0.688 0.688 0.468 O
0.785 0.023 0.406 O
0.023 0.785 0.406 O
0.977 0.215 0.594 O
0.215 0.977 0.594 O